LiIn4Hg5 after structural relaxation, computed with PBE.

Calculated values
The value obtained for the total magnetic moment is 0.000 μB per cell. As for the space-group type: I4, No. 79. The density of states at the Fermi level comes out at 4.6 states/eV per cell. The formation energy comes out at -0.0428 eV per atom. The calculation puts the total energy at -1.480 eV/atom.

Geometry as POSCAR:
```
LiIn4Hg5
1.0
-5.357 2.363 1.456
-5.604 -4.464 -0.872
-1.943 -0.945 6.887
In Hg Li
4 5 1
direct
0.528 0.614 0.243
0.771 0.757 0.614
0.384 0.386 0.757
0.142 0.243 0.386
0.861 0.355 0.850
0.216 0.850 0.645
0.711 0.150 0.355
0.644 0.000 0.000
0.066 0.645 0.150
0.188 0.000 0.000
```